Record 1
Density functional theory data (PBE) for CrNi2Pt after structural relaxation.

Calculated values
Space group: R3m (160)
Formation enthalpy at 0 K, eV/atom: 0.029
E_tot, eV/atom: -6.777
Magnetization, Bohr magnetons per cell: 0.238

Cell: 8.505 8.505 8.505 Å, 17.74 17.74 17.74°
Last column: magnetic moment on the atom in μB.
Fractional coordinates of all 4 atoms:
1 Ni 0.001 0.001 0.001  0.12
2 Ni 0.254 0.254 0.254  0.10
3 Cr 0.746 0.746 0.746  0.03
4 Pt 0.499 0.499 0.499  0.01

Record 2
Density functional theory data (PBE) for RbSn8Au2 after structural relaxation.

Calculated values
Space group: P4/mmm (123)
Formation enthalpy at 0 K, eV/atom: -0.004
E_tot, eV/atom: -3.599
Magnetization, Bohr magnetons per cell: 0.000

Cell: 6.462 6.462 9.784 Å, 90.00 90.00 90.00°
Fractional coordinates of all 11 atoms:
1 Sn 0.247 0.753 0.821
2 Sn 0.753 0.247 0.179
3 Sn 0.753 0.753 0.179
4 Sn 0.247 0.247 0.179
5 Sn 0.753 0.753 0.821
6 Sn 0.753 0.247 0.821
7 Sn 0.247 0.247 0.821
8 Sn 0.247 0.753 0.179
9 Au 0.500 0.000 0.000
10 Au 0.000 0.500 0.000
11 Rb 0.500 0.500 0.500

Record 3
Density functional theory data (PBE) for Pu4Np3S8 after structural relaxation.

Calculated values
Space group: C2/m (12)
E_tot, eV/atom: -10.162
Formation energy (no corrections), eV per atom: -1.55
Magnetization, Bohr magnetons per cell: 12.278

Cell: 7.845 7.845 7.845 Å, 89.99 120.02 120.02°
Last column: magnetic moment on the atom in μB.
Fractional coordinates of all 15 atoms:
1 S 0.000 0.251 0.749  0.02
2 S 0.000 0.749 0.251  0.02
3 S 0.501 0.749 0.749  0.13
4 S 0.998 0.749 0.749  0.02
5 S 0.499 0.251 0.251  0.13
6 S 0.500 0.250 0.750  0.04
7 S 0.002 0.251 0.251  0.02
8 S 0.500 0.750 0.250  0.04
9 Np 0.500 0.500 0.000  -3.82
10 Np 0.500 0.000 0.500  -3.82
11 Np 0.500 0.500 0.500  -3.80
12 Pu 0.500 0.000 0.000  -5.18
13 Pu 0.000 0.500 0.000  5.07
14 Pu 0.000 0.000 0.000  -5.13
15 Pu 0.000 0.000 0.500  5.07

Record 4
Density functional theory data (PBE) for RhPb2Br after structural relaxation.

Calculated values
Space group: I-4m2 (119)
E_tot, eV/atom: -3.866
Formation energy (no corrections), eV per atom: 0.24
Magnetization, Bohr magnetons per cell: 0.000

Cell: 6.767 6.767 6.767 Å, 144.37 144.37 51.27°
Fractional coordinates of all 4 atoms:
1 Rh 0.500 0.500 0.000
2 Pb 0.000 0.000 0.000
3 Pb 0.250 0.750 0.500
4 Br 0.750 0.250 0.500

Record 5
Density functional theory data (PBE) for TbY2Er5Sc after structural relaxation.

Calculated values
Space group: Cmc2_1 (36)
Formation enthalpy at 0 K, eV/atom: 0.168
E_tot, eV/atom: -5.021
Magnetization, Bohr magnetons per cell: 0.000

Cell: 5.526 10.177 10.343 Å, 90.00 90.00 105.75°
Fractional coordinates of all 18 atoms:
1 Er 0.299 0.599 0.705
2 Er 0.278 0.556 0.319
3 Er 0.019 0.039 0.020
4 Er 0.722 0.444 0.819
5 Er 0.981 0.961 0.520
6 Er 0.519 0.037 0.239
7 Er 0.481 0.963 0.739
8 Er 0.701 0.401 0.205
9 Er 0.380 0.760 0.021
10 Er 0.620 0.240 0.521
11 Y 0.113 0.226 0.735
12 Y 0.887 0.774 0.235
13 Y 0.889 0.778 0.815
14 Y 0.111 0.222 0.315
15 Sc 0.803 0.606 0.514
16 Sc 0.197 0.394 0.014
17 Tb 0.412 0.824 0.457
18 Tb 0.588 0.176 0.957

Record 6
Density functional theory data (PBE) for K2SrTcBi after structural relaxation.

Calculated values
Space group: P4/mmm (123)
Formation enthalpy at 0 K, eV/atom: 0.638
E_tot, eV/atom: -2.987
Magnetization, Bohr magnetons per cell: 2.106

Cell: 6.290 5.336 6.290 Å, 90.00 90.00 90.00°
Last column: magnetic moment on the atom in μB.
Fractional coordinates of all 5 atoms:
1 Sr 0.500 0.500 0.500  0.01
2 K 0.500 0.000 0.000  0.02
3 K 0.000 0.000 0.500  0.01
4 Bi 0.000 0.500 0.000  -0.06
5 Tc 0.000 0.000 0.000  1.79